No. 1
CuTeAs2 | PBE | relaxed

Calculated total energy, eV per atom: -3.574

Structure (CIF):
```
data_CuTeAs2
_chemical_formula_sum 'Cu4 Te4 As8'
_cell_length_a 6.805
_cell_length_b 6.805
_cell_length_c 6.805
_cell_angle_alpha 90.00
_cell_angle_beta 90.00
_cell_angle_gamma 90.00
_space_group_name_H-M_alt 'F -4 3 m'
_space_group_IT_number 216
_space_group_name_Hall 'F -4 2 3'
loop_
_atom_site_label
_atom_site_fract_x
_atom_site_fract_y
_atom_site_fract_z
Cu1 0.000 0.000 0.000
Te1 0.250 0.250 0.750
As1 0.000 0.000 0.500
As2 0.250 0.250 0.250
```

=====

No. 2
HfIn2Au2 | PBE | relaxed

Calculated total energy, eV per atom: -4.278
Total magnetization, μB/f.u.: 0.0

Structure (CIF):
```
data_HfIn2Au2
_chemical_formula_sum 'Hf2 In4 Au4'
_cell_length_a 4.159
_cell_length_b 4.159
_cell_length_c 12.479
_cell_angle_alpha 90.00
_cell_angle_beta 90.00
_cell_angle_gamma 90.00
_space_group_name_H-M_alt 'I 4/m m m'
_space_group_IT_number 139
_space_group_name_Hall '-I 4 2'
loop_
_atom_site_label
_atom_site_fract_x
_atom_site_fract_y
_atom_site_fract_z
Hf1 0.000 0.000 0.000
In1 0.000 0.000 0.394
Au1 0.000 0.500 0.250
```